Record 1
VASP calculation (PBE) on crystalline Co3Re10 at its relaxed geometry.

Cell and atoms, written as POSCAR:
```
Co3Re10
1.0
-1.445 4.609 7.748
-0.752 8.064 4.216
-5.197 5.851 4.703
Co Re
3 10
Cartesian
0.000 0.000 0.000
-3.361 8.421 7.577
-4.033 10.102 9.090
-1.385 3.959 5.340
-1.044 5.664 3.596
-1.220 3.057 2.751
-2.620 6.563 5.905
-4.157 13.951 12.830
-3.237 4.572 3.837
-4.774 11.961 10.762
-6.174 15.466 13.916
-6.009 14.564 11.327
-6.350 12.859 13.071
```



Record 2
VASP calculation (PBE) on crystalline Co7Re6 at its relaxed geometry.

Cell and atoms, written as POSCAR:
```
Co7Re6
1.0
2.478 1.431 8.215
-2.478 1.431 8.215
0.000 -2.862 8.215
Co Re
7 6
Cartesian
0.000 0.000 0.000
0.000 0.000 4.051
0.000 0.000 8.736
0.000 0.000 11.205
0.000 0.000 13.442
0.000 0.000 15.911
0.000 0.000 20.596
1.218 0.703 6.265
-1.218 0.703 6.265
0.000 1.407 18.382
0.000 -1.407 6.265
1.218 -0.703 18.382
-1.218 -0.703 18.382
```



Record 3
VASP calculation (PBE) on crystalline CoRe2 at its relaxed geometry.

Cell and atoms, written as POSCAR:
```
CoRe2
1.0
-5.754 5.880 3.895
-3.343 -6.700 5.175
3.351 0.993 3.451
Co Re
10 20
Cartesian
0.000 0.000 0.000
-3.093 1.865 2.467
-2.286 -2.350 2.896
-6.812 1.530 6.174
-6.004 -2.686 6.603
-2.061 3.943 4.363
-5.110 3.668 7.402
-2.873 0.086 6.261
-0.636 -3.495 5.119
-3.685 -3.770 8.159
-4.409 3.867 3.169
-6.295 3.697 5.049
-3.642 -0.329 3.631
-5.455 -0.492 5.439
-2.802 -4.517 4.021
-4.688 -4.687 5.902
-0.789 0.101 2.481
-6.636 -0.426 8.311
-4.140 2.086 5.171
-3.278 -2.409 5.628
-3.838 5.123 5.748
-1.606 1.527 4.615
-1.106 -1.081 4.881
-4.640 1.253 7.641
-4.140 -1.355 7.906
-1.908 -4.950 6.773
-2.467 2.581 6.893
-1.606 -1.913 7.350
0.890 0.599 4.210
-4.957 0.071 10.040
```



Calculated energy relative to the lowest polymorph listed for this composition (meV/atom), listed in the same order as above: 0; 434; 103
Calculated spin magnetization (μB per formula unit), listed in the same order as above: 1.3; 0.2; 0.3
Calculated final energy (eV per cell), listed in the same order as above: -142.6; -118.7; -315.6